(1)
Density functional theory data (PBE-GGA) for a relaxed SnGe2Te6Pb3 crystal.

Cell lengths 4.479, 9.027, 10.061 Å; angles 103.46, 102.86, 90.00 degrees
Atoms (fractional coordinates):
Pb  0.165  0.839  0.330
Te  0.992  0.751  0.984
Pb  0.500  0.500  0.000
Ge  0.831  0.658  0.662
Sn  0.500  0.000  0.000
Te  0.327  0.432  0.655
Te  0.333  0.899  0.666
Ge  0.169  0.342  0.338
Te  0.008  0.249  0.016
Te  0.673  0.568  0.345
Te  0.667  0.101  0.334
Pb  0.835  0.161  0.670

Calculated values
Crystal system ... monoclinic
Total magnetization ... 0.0 μB per formula unit
Total energy ... -46.31 eV/cell
Volume ... 385.1 Å³/f.u.
Uncorrected formation energy ... -258 meV/atom
Theoretical density ... 7.12 g/cm³

(2)
Density functional theory data (PBE-GGA) for a relaxed LiInAs2 crystal.

Cell lengths 4.872, 4.872, 4.872 Å; angles 60.00, 60.00, 60.00 degrees
Atoms (fractional coordinates):
Li  0.750  0.750  0.750
As  0.250  0.250  0.250
In  0.500  0.500  0.500
As  0.000  0.000  0.000

Calculated values
Crystal system ... cubic
Total magnetization ... 0.0 μB per formula unit
Total energy ... -13.74 eV/cell
Formation energy from the elements ... 0.05 eV per atom
Volume ... 81.8 Å³/f.u.
Theoretical density ... 5.51 g/cm³

(3)
Density functional theory data (PBE-GGA) for a relaxed Hf2MgAg crystal.

Cell lengths 7.978, 7.978, 6.295 Å; angles 50.68, 50.68, 90.00 degrees
Atoms (fractional coordinates):
Hf  0.656  0.125  0.250
Ag  0.750  0.250  0.500
Hf  0.875  0.906  0.750
Mg  0.500  0.500  0.000
Hf  0.375  0.344  0.750
Hf  0.094  0.625  0.250
Ag  0.000  0.000  0.000
Mg  0.250  0.750  0.500

Calculated values
Crystal system ... tetragonal
Total magnetization ... 0.0 μB per formula unit
Total energy ... -44.90 eV/cell
Formation energy from the elements ... 0.48 eV per atom
Volume ... 88.9 Å³/f.u.
Theoretical density ... 9.14 g/cm³

(4)
Density functional theory data (PBE-GGA) for a relaxed VZn2Pd2 crystal.

Cell lengths 7.337, 7.337, 2.881 Å; angles 90.00, 90.00, 90.00 degrees
Last column: magnetic moment on the atom in μB.
Atoms (fractional coordinates):
Pd  0.860  0.640  0.000  0.11
V  0.500  0.500  0.000  2.50
Zn  0.841  0.341  0.500  0.00
Zn  0.159  0.659  0.500  0.00
Pd  0.360  0.860  0.000  0.11
Zn  0.341  0.159  0.500  0.00
Zn  0.659  0.841  0.500  0.00
V  0.000  0.000  0.000  2.50
Pd  0.640  0.140  0.000  0.11
Pd  0.140  0.360  0.000  0.11

Calculated values
Crystal system ... tetragonal
Energy above the most stable polymorph in this dataset ... 0.275 eV per formula unit
Total magnetization ... 3.2 μB per formula unit
Total energy ... -45.55 eV/cell
Formation energy from the elements ... -0.14 eV per atom
Volume ... 77.5 Å³/f.u.
Theoretical density ... 8.45 g/cm³

(5)
Density functional theory data (PBE-GGA) for a relaxed TaBeAg2 crystal.

Cell lengths 4.827, 4.827, 4.827 Å; angles 130.60, 130.60, 72.45 degrees
Atoms (fractional coordinates):
Ag  0.000  0.000  0.000
Be  0.250  0.750  0.500
Ag  0.500  0.500  0.000
Ta  0.750  0.250  0.500

Calculated values
Crystal system ... tetragonal
Total magnetization ... 0.0 μB per formula unit
Total energy ... -19.23 eV/cell
Formation energy from the elements ... 0.51 eV per atom
Volume ... 63.4 Å³/f.u.
Theoretical density ... 10.63 g/cm³

(6)
Density functional theory data (PBE-GGA) for a relaxed LaEr2Cd2 crystal.

Cell lengths 3.740, 5.473, 14.012 Å; angles 90.00, 97.67, 90.00 degrees
Atoms (fractional coordinates):
Er  0.764  0.250  0.528
La  0.851  0.750  0.704
Cd  0.358  0.250  0.718
La  0.149  0.250  0.296
Cd  0.546  0.250  0.092
Cd  0.642  0.750  0.282
Er  0.953  0.250  0.906
Cd  0.454  0.750  0.908
Er  0.047  0.750  0.094
Er  0.236  0.750  0.472

Calculated values
Crystal system ... monoclinic
Energy above the most stable polymorph in this dataset ... 0.000 eV per formula unit
Total magnetization ... 0.0 μB per formula unit
Total energy ... -34.16 eV/cell
Formation energy from the elements ... -0.24 eV per atom
Volume ... 142.1 Å³/f.u.
Theoretical density ... 8.16 g/cm³

(7)
Density functional theory data (PBE-GGA) for a relaxed VFeP crystal.

Cell lengths 3.489, 5.881, 6.685 Å; angles 90.00, 90.00, 90.00 degrees
Atoms (fractional coordinates):
Fe  0.750  0.356  0.062
P  0.250  0.770  0.624
V  0.250  0.025  0.174
V  0.750  0.975  0.826
P  0.250  0.270  0.876
Fe  0.250  0.644  0.938
P  0.750  0.230  0.376
V  0.750  0.475  0.674
V  0.250  0.525  0.326
P  0.750  0.730  0.124
Fe  0.250  0.144  0.562
Fe  0.750  0.856  0.438

Calculated values
Crystal system ... orthorhombic
Total magnetization ... 0.0 μB per formula unit
Total energy ... -101.63 eV/cell
Formation energy from the elements ... -0.81 eV per atom
Volume ... 34.3 Å³/f.u.
Theoretical density ... 6.67 g/cm³

(8)
Density functional theory data (PBE-GGA) for a relaxed MgAlIn crystal.

Cell lengths 5.534, 5.534, 5.534 Å; angles 147.53, 133.96, 57.46 degrees
Atoms (fractional coordinates):
Mg  0.660  0.660  0.000
In  0.334  0.334  0.000
Al  0.006  0.006  0.000

Calculated values
Crystal system ... orthorhombic
Total magnetization ... 0.0 μB per formula unit
Total energy ... -7.95 eV/cell
Formation energy from the elements ... 0.04 eV per atom
Volume ... 65.0 Å³/f.u.
Theoretical density ... 4.24 g/cm³

(9)
Density functional theory data (PBE-GGA) for a relaxed Rb12Na5Au3 crystal.

Cell lengths 19.152, 19.152, 19.152 Å; angles 109.47, 109.47, 109.47 degrees
Atoms (fractional coordinates):
Rb  0.671  0.243  0.613
Na  0.250  0.375  0.625
Rb  0.370  0.928  0.757
Au  0.875  0.750  0.125
Na  0.125  0.375  0.250
Rb  0.171  0.113  0.743
Na  0.250  0.875  0.125
Na  0.000  0.500  0.000
Rb  0.613  0.870  0.442
Au  0.125  0.875  0.750
Rb  0.572  0.329  0.942
Rb  0.743  0.613  0.171
Rb  0.058  0.171  0.428
Na  0.000  0.000  0.000
Na  0.875  0.625  0.750
Na  0.375  0.250  0.125
Na  0.500  0.000  0.500
Rb  0.630  0.558  0.887
Au  0.375  0.750  0.625
Na  0.000  0.500  0.500
Rb  0.942  0.829  0.572
Na  0.125  0.750  0.375
Rb  0.113  0.171  0.243
Rb  0.113  0.942  0.370
Rb  0.829  0.887  0.257
Rb  0.928  0.370  0.257
Na  0.375  0.125  0.750
Au  0.625  0.250  0.375
Au  0.625  0.375  0.750
Rb  0.442  0.072  0.329
Au  0.375  0.625  0.250
Rb  0.757  0.329  0.887
Rb  0.887  0.058  0.630
Rb  0.243  0.572  0.630
Au  0.250  0.125  0.375
Rb  0.671  0.428  0.558
Rb  0.829  0.942  0.072
Rb  0.257  0.387  0.829
Rb  0.743  0.130  0.072
Na  0.500  0.000  0.000
Na  0.750  0.625  0.375
Rb  0.058  0.887  0.130
Rb  0.572  0.243  0.130
Au  0.250  0.625  0.875
Rb  0.329  0.757  0.387
Rb  0.257  0.870  0.928
Na  0.500  0.500  0.000
Rb  0.870  0.257  0.428
Rb  0.558  0.630  0.387
Rb  0.387  0.130  0.558
Na  0.750  0.125  0.875
Rb  0.130  0.743  0.572
Au  0.125  0.250  0.875
Rb  0.558  0.928  0.671
Rb  0.243  0.671  0.113
Rb  0.428  0.671  0.058
Rb  0.387  0.257  0.329
Rb  0.130  0.387  0.058
Rb  0.072  0.630  0.743
Au  0.750  0.375  0.125
Na  0.875  0.250  0.625
Rb  0.428  0.757  0.870
Na  0.000  0.000  0.500
Rb  0.072  0.442  0.829
Na  0.500  0.500  0.500
Rb  0.942  0.113  0.870
Rb  0.870  0.613  0.942
Au  0.875  0.125  0.250
Na  0.625  0.875  0.250
Rb  0.928  0.558  0.171
Rb  0.370  0.442  0.113
Rb  0.171  0.058  0.928
Rb  0.613  0.743  0.671
Au  0.750  0.875  0.625
Rb  0.329  0.572  0.442
Na  0.625  0.750  0.875
Rb  0.630  0.072  0.243
Rb  0.442  0.370  0.613
Rb  0.757  0.428  0.370
Rb  0.887  0.829  0.757

Calculated values
Crystal system ... cubic
Total magnetization ... 0.0 μB per formula unit
Total energy ... -105.37 eV/cell
Formation energy from the elements ... 0.08 eV per atom
Volume ... 1352.0 Å³/f.u.
Theoretical density ... 2.13 g/cm³

(10)
Density functional theory data (PBE-GGA) for a relaxed K2GeAuI crystal.

Cell lengths 6.615, 5.487, 6.615 Å; angles 90.00, 90.00, 90.00 degrees
Atoms (fractional coordinates):
I  0.000  0.500  0.000
Ge  0.000  0.000  0.000
K  0.000  0.000  0.500
Au  0.500  0.500  0.500
K  0.500  0.000  0.000

Calculated values
Crystal system ... tetragonal
Total magnetization ... 0.0 μB per formula unit
Total energy ... -11.40 eV/cell
Volume ... 240.1 Å³/f.u.
Uncorrected formation energy ... 49 meV/atom
Theoretical density ... 3.28 g/cm³

(11)
Density functional theory data (PBE-GGA) for a relaxed Ba2Cu3PbO6 crystal.

Cell lengths 3.927, 3.927, 12.198 Å; angles 90.00, 90.00, 90.00 degrees
Atoms (fractional coordinates):
O  0.000  0.500  0.375
O  0.000  0.000  0.851
O  0.000  0.500  0.625
Pb  0.500  0.500  0.500
O  0.500  0.000  0.375
Cu  0.000  0.000  0.000
Ba  0.500  0.500  0.806
O  0.500  0.000  0.625
Cu  0.000  0.000  0.358
Ba  0.500  0.500  0.194
O  0.000  0.000  0.149
Cu  0.000  0.000  0.642

Calculated values
Crystal system ... tetragonal
Total magnetization ... 0.0 μB per formula unit
Total energy ... -65.24 eV/cell
Volume ... 188.1 Å³/f.u.
Uncorrected formation energy ... -1304 meV/atom
Theoretical density ... 6.79 g/cm³

(12)
Density functional theory data (PBE-GGA) for a relaxed ScMnGaHg crystal.

Cell lengths 4.685, 4.685, 4.685 Å; angles 60.00, 60.00, 60.00 degrees
Last column: magnetic moment on the atom in μB.
Atoms (fractional coordinates):
Sc  0.250  0.250  0.250  -0.21
Ga  0.500  0.500  0.500  -0.08
Mn  0.750  0.750  0.750  3.46
Hg  0.000  0.000  0.000  -0.04

Calculated values
Crystal system ... cubic
Total magnetization ... 3.2 μB per formula unit
Total energy ... -19.49 eV/cell
Formation energy from the elements ... -0.17 eV per atom
Volume ... 72.7 Å³/f.u.
Theoretical density ... 8.46 g/cm³